Compound: K4I2Br
Source: Alexandria
Functional: PBE-GGA
Structure: optimized geometry

uncorrected energy: -2.52 eV per atom
M_tot: 0.00 μB per formula unit

The structure in CIF format:
```
data_K4I2Br
_cell_length_a 6.2682
_cell_length_b 6.2682
_cell_length_c 18.2132
_cell_angle_alpha 90.00
_cell_angle_beta 90.00
_cell_angle_gamma 90.00
_symmetry_space_group_name_H-M 'I 4/m m m'
_symmetry_Int_Tables_number 139
_symmetry_space_group_name_Hall '-I 4 2'
loop_
_atom_site_label
_atom_site_type_symbol
_atom_site_fract_x
_atom_site_fract_y
_atom_site_fract_z
K1 K 0.0000 0.0000 0.1914
K2 K 0.0000 0.5000 0.0000
I1 I 0.0000 0.0000 0.3817
Br1 Br 0.0000 0.0000 0.0000
```

Compound: AcCrP2N6
Source: Alexandria
Functional: PBE-GGA
Structure: optimized geometry

uncorrected energy: -8.01 eV per atom
M_tot: 1.00 μB per formula unit

The structure in CIF format:
```
data_AcCrP2N6
_cell_length_a 9.4975
_cell_length_b 10.7174
_cell_length_c 5.4768
_cell_angle_alpha 90.00
_cell_angle_beta 109.36
_cell_angle_gamma 90.00
_symmetry_space_group_name_H-M 'C 1 2/c 1'
_symmetry_Int_Tables_number 15
loop_
_symmetry_equiv_pos_as_xyz
'x,y,z'
'-x,-y,-z'
'-x,y,-z+1/2'
'x,-y,z+1/2'
'x+1/2,y+1/2,z'
'-x+1/2,-y+1/2,-z'
'-x+1/2,y+1/2,-z+1/2'
'x+1/2,-y+1/2,z+1/2'
loop_
_atom_site_label
_atom_site_type_symbol
_atom_site_fract_x
_atom_site_fract_y
_atom_site_fract_z
Ac1 Ac 0.0000 0.1593 0.2500
Cr1 Cr 0.0000 0.3029 0.7500
P1 P 0.2492 0.0789 0.8407
N1 N 0.0784 0.3754 0.0596
N2 N 0.1446 0.2030 0.7295
N3 N 0.1950 0.0121 0.0730
```

Compound: H2Pd2Pb
Source: Alexandria
Functional: PBE-GGA
Structure: optimized geometry

uncorrected energy: -4.28 eV per atom
ΔE to the lowest computed polymorph: 0.000 eV/atom
M_tot: 0.00 μB per formula unit

The structure in CIF format:
```
data_H2Pd2Pb
_cell_length_a 5.5654
_cell_length_b 5.6283
_cell_length_c 5.8240
_cell_angle_alpha 114.42
_cell_angle_beta 93.59
_cell_angle_gamma 119.41
_symmetry_space_group_name_H-M 'P -1'
_symmetry_Int_Tables_number 2
loop_
_symmetry_equiv_pos_as_xyz
'x,y,z'
'-x,-y,-z'
loop_
_atom_site_label
_atom_site_type_symbol
_atom_site_fract_x
_atom_site_fract_y
_atom_site_fract_z
H1 H 0.0251 0.3818 0.2917
H2 H 0.2803 0.2829 0.7958
Pd1 Pd 0.0923 0.3429 0.5871
Pd2 Pd 0.3181 0.4941 0.1591
Pb1 Pb 0.3363 0.0406 0.2429
```

Compound: Co2PPtRh
Source: Alexandria
Functional: PBE-GGA
Structure: optimized geometry

uncorrected energy: -5.12 eV per atom
M_tot: 5.99 μB per formula unit
energy of formation: 1.485 eV per atom

The structure in CIF format:
```
data_Co2PPtRh
_cell_length_a 4.5397
_cell_length_b 4.5397
_cell_length_c 4.8807
_cell_angle_alpha 90.00
_cell_angle_beta 90.00
_cell_angle_gamma 90.00
_symmetry_space_group_name_H-M 'P 4/m m m'
_symmetry_Int_Tables_number 123
_symmetry_space_group_name_Hall '-P 4 2'
loop_
_atom_site_label
_atom_site_type_symbol
_atom_site_fract_x
_atom_site_fract_y
_atom_site_fract_z
Co1 Co 0.0000 0.5000 0.0000
P1 P 0.0000 0.0000 0.5000
Pt1 Pt 0.5000 0.5000 0.0000
Rh1 Rh 0.5000 0.5000 0.5000
```

Compound: Zn5Cl3
Source: Alexandria
Functional: PBE-GGA
Structure: optimized geometry

uncorrected energy: -1.60 eV per atom
M_tot: 0.00 μB per formula unit

The structure in CIF format:
```
data_Zn5Cl3
_cell_length_a 9.7693
_cell_length_b 9.7693
_cell_length_c 4.5685
_cell_angle_alpha 90.00
_cell_angle_beta 90.00
_cell_angle_gamma 120.00
_symmetry_space_group_name_H-M 'P 63/m c m'
_symmetry_Int_Tables_number 193
_symmetry_space_group_name_Hall '-P 6c 2'
loop_
_atom_site_label
_atom_site_type_symbol
_atom_site_fract_x
_atom_site_fract_y
_atom_site_fract_z
Zn1 Zn 0.0000 0.1651 0.2500
Zn2 Zn 0.3333 0.6667 0.0000
Cl1 Cl 0.0000 0.3520 0.7500
```

Compound: Mn3ReC
Source: Alexandria
Functional: PBE-GGA
Structure: optimized geometry

uncorrected energy: -7.39 eV per atom
ΔE to the lowest computed polymorph: 2.383 eV/atom
M_tot: 7.78 μB per formula unit
energy of formation: 2.450 eV per atom

The structure in CIF format:
```
data_Mn3ReC
_cell_length_a 4.6173
_cell_length_b 4.6173
_cell_length_c 4.6173
_cell_angle_alpha 90.00
_cell_angle_beta 90.00
_cell_angle_gamma 90.00
_symmetry_space_group_name_H-M 'P m -3 m'
_symmetry_Int_Tables_number 221
_symmetry_space_group_name_Hall '-P 4 2 3'
loop_
_atom_site_label
_atom_site_type_symbol
_atom_site_fract_x
_atom_site_fract_y
_atom_site_fract_z
Mn1 Mn 0.0000 0.0000 0.5000
Re1 Re 0.0000 0.0000 0.0000
C1 C 0.5000 0.5000 0.5000
```